[1]
# ZrTiCu | Alexandria via LeMat-Bulk | PBE-GGA | relaxed
# **SG**: Imma (74)
# **Total moment**: 1.05 μB/cell
# **Energy of formation from the pure elements**: -0.03 eV per atom
data_ZrTiCu
_symmetry_space_group_name_H-M 'P 1'
_symmetry_Int_Tables_number 1
_symmetry_space_group_name_Hall 'P 1'
_cell_length_a 5.275
_cell_length_b 5.271
_cell_length_c 5.275
_cell_angle_alpha 90.86
_cell_angle_beta 118.93
_cell_angle_gamma 120.12
loop_
_atom_site_label
_atom_site_type_symbol
_atom_site_fract_x
_atom_site_fract_y
_atom_site_fract_z
Zr1 Zr 0.250 0.126 0.876
Zr2 Zr 0.750 0.874 0.124
Ti1 Ti 0.500 0.500 0.500
Ti2 Ti 0.000 0.500 0.000
Cu1 Cu 0.000 0.500 0.500
Cu2 Cu 0.500 0.000 0.500

[2]
# LiPuGaN3 | Alexandria via LeMat-Bulk | PBE-GGA | relaxed
# **SG**: P2_1/m (11)
# **Total moment**: 6.00 μB/cell
# **Total energy**: -94.57 eV per cell
data_LiPuGaN3
_symmetry_space_group_name_H-M 'P 1'
_symmetry_Int_Tables_number 1
_symmetry_space_group_name_Hall 'P 1'
_cell_length_a 3.424
_cell_length_b 6.246
_cell_length_c 8.767
_cell_angle_alpha 103.28
_cell_angle_beta 90.00
_cell_angle_gamma 90.00
loop_
_atom_site_label
_atom_site_type_symbol
_atom_site_fract_x
_atom_site_fract_y
_atom_site_fract_z
Li1 Li 0.250 0.149 0.098
Li2 Li 0.750 0.851 0.902
Pu1 Pu 0.250 0.671 0.152
Pu2 Pu 0.750 0.329 0.848
Ga1 Ga 0.250 0.018 0.623
Ga2 Ga 0.750 0.982 0.377
N1 N 0.750 0.917 0.150
N2 N 0.250 0.083 0.850
N3 N 0.250 0.823 0.414
N4 N 0.750 0.177 0.586
N5 N 0.750 0.435 0.103
N6 N 0.250 0.565 0.897

[3]
# Cd2MoP | Alexandria via LeMat-Bulk | PBE-GGA | relaxed
# **SG**: I4/mmm (139)
# **Total moment**: 0.00 μB/cell
# **Energy of formation from the pure elements**: 0.40 eV per atom
data_Cd2MoP
_symmetry_space_group_name_H-M 'P 1'
_symmetry_Int_Tables_number 1
_symmetry_space_group_name_Hall 'P 1'
_cell_length_a 5.638
_cell_length_b 5.638
_cell_length_c 5.638
_cell_angle_alpha 140.91
_cell_angle_beta 140.91
_cell_angle_gamma 56.48
loop_
_atom_site_label
_atom_site_type_symbol
_atom_site_fract_x
_atom_site_fract_y
_atom_site_fract_z
Cd1 Cd 0.750 0.250 0.500
Cd2 Cd 0.250 0.750 0.500
Mo1 Mo 0.500 0.500 0.000
P1 P 0.000 0.000 0.000

Q: The lowest total moment belongs to which entry?
A: Cd2MoP